An optimized crystal structure of UPaCuPd. Source: Alexandria via LeMat-Bulk, functional PBE.

It has space group F-43m (No. 216), with a = 6.696 Å, b = 6.696 Å, c = 6.696 Å, α = 90.00°, β = 90.00° and γ = 90.00°. Symmetry generates all atoms from U at (0.000, 0.000, 0.000), Pa at (0.250, 0.250, 0.750), Cu at (0.000, 0.000, 0.500) and Pd at (0.250, 0.250, 0.250).

The energy relative to the elements is -0.15 eV/atom.


An optimized crystal structure of NdSm4Hg. Source: Alexandria via LeMat-Bulk, functional PBE.

It has space group C2/c (No. 15), with a = 8.953 Å, b = 14.131 Å, c = 6.490 Å, α = 90.00°, β = 109.14° and γ = 90.00°. Symmetry generates all atoms from Nd at (0.000, 0.093, 0.250), Sm at (0.099, 0.312, 0.548), Sm at (0.219, 0.117, 0.874) and Hg at (0.000, 0.499, 0.250).

The calculation puts the excess energy over the best structure of this formula in the dataset at 89 meV/atom. The energy relative to the elements is -0.06 eV/atom.


An optimized crystal structure of Zr2NpNb. Source: Alexandria via LeMat-Bulk, functional PBE.

It has space group P4/mmm (No. 123), with a = 3.411 Å, b = 3.411 Å, c = 7.526 Å, α = 90.00°, β = 90.00° and γ = 90.00°. Symmetry generates all atoms from Zr at (0.000, 0.000, 0.226), Np at (0.500, 0.500, 0.500) and Nb at (0.500, 0.500, 0.000).

The energy relative to the elements is 0.30 eV/atom.


An optimized crystal structure of Ac3Pm12In. Source: Alexandria via LeMat-Bulk, functional PBE.

It has space group P4/mmm (No. 123), with a = 5.176 Å, b = 5.176 Å, c = 20.947 Å, α = 90.00°, β = 90.00° and γ = 90.00°. Symmetry generates all atoms from Ac at (0.000, 0.000, 0.000), Ac at (0.000, 0.000, 0.255), Pm at (0.000, 0.500, 0.128), Pm at (0.000, 0.500, 0.385), Pm at (0.500, 0.500, 0.000), Pm at (0.500, 0.500, 0.259), Pm at (0.500, 0.500, 0.500) and In at (0.000, 0.000, 0.500).

The energy relative to the elements is -0.03 eV/atom.


An optimized crystal structure of CdSnCl4. Source: Alexandria via LeMat-Bulk, functional PBE.

It has space group P2/m (No. 10), with a = 6.361 Å, b = 4.057 Å, c = 7.182 Å, α = 90.00°, β = 91.57° and γ = 90.00°. Symmetry generates all atoms from Cd at (0.000, 0.000, 0.000), Sn at (0.000, 0.500, 0.500), Cl at (0.224, 0.500, 0.854) and Cl at (0.236, 0.000, 0.315).

The calculation puts the excess energy over the best structure of this formula in the dataset at 0 meV/atom. For the raw formation energy, the calculation gives -98.3 kJ per mole of atoms.


An optimized crystal structure of LiPmTcAs. Source: Alexandria via LeMat-Bulk, functional PBE.

It has space group F-43m (No. 216), with a = 6.536 Å, b = 6.536 Å, c = 6.536 Å, α = 90.00°, β = 90.00° and γ = 90.00°. Symmetry generates all atoms from Li at (0.000, 0.000, 0.000), Pm at (0.250, 0.250, 0.250), Tc at (0.000, 0.000, 0.500) and As at (0.250, 0.250, 0.750).

The energy relative to the elements is -0.14 eV/atom.


An optimized crystal structure of GaSbSeBr2. Source: Alexandria via LeMat-Bulk, functional PBE.

It has space group P4/mmm (No. 123), with a = 5.090 Å, b = 5.090 Å, c = 5.181 Å, α = 90.00°, β = 90.00° and γ = 90.00°. Symmetry generates all atoms from Ga at (0.000, 0.000, 0.000), Sb at (0.500, 0.500, 0.500), Se at (0.000, 0.000, 0.500) and Br at (0.000, 0.500, 0.000).

The calculation puts the excess energy over the best structure of this formula in the dataset at 236 meV/atom. For the raw formation energy, the calculation gives 4.2 kJ per mole of atoms.


An optimized crystal structure of KAg3Sn2. Source: Alexandria via LeMat-Bulk, functional PBE.

It has space group C2/m (No. 12), with a = 18.224 Å, b = 4.827 Å, c = 8.184 Å, α = 90.00°, β = 114.90° and γ = 90.00°. Symmetry generates all atoms from K at (0.163, 0.000, 0.094), Ag at (0.010, 0.000, 0.684), Ag at (0.091, 0.500, 0.659), Ag at (0.198, 0.500, 0.458), Sn at (0.031, 0.500, 0.202) and Sn at (0.159, 0.000, 0.596).

The energy relative to the elements is -0.07 eV/atom.


An optimized crystal structure of USn2Se5. Source: Alexandria via LeMat-Bulk, functional PBE.

It has space group Cmcm (No. 63), with a = 5.605 Å, b = 13.975 Å, c = 13.694 Å, α = 90.00°, β = 90.00° and γ = 90.00°. Symmetry generates all atoms from U at (0.000, 0.196, 0.250), Sn at (0.000, 0.156, 0.545), Se at (0.000, 0.051, 0.125), Se at (0.000, 0.280, 0.750) and Se at (0.000, 0.318, 0.088).

For the raw formation energy, the calculation gives -59.9 kJ per mole of atoms.


An optimized crystal structure of Na3HgTe3. Source: Alexandria via LeMat-Bulk, functional PBE.

It has space group C2/m (No. 12), with a = 9.153 Å, b = 11.707 Å, c = 8.581 Å, α = 90.00°, β = 91.73° and γ = 90.00°. Symmetry generates all atoms from Na at (0.000, 0.178, 0.000), Na at (0.000, 0.218, 0.500), Na at (0.010, 0.500, 0.215), Hg at (0.213, 0.000, 0.409), Te at (0.162, 0.000, 0.733) and Te at (0.221, 0.299, 0.757).

For the raw formation energy, the calculation gives -52.3 kJ per mole of atoms.


An optimized crystal structure of SmHo5Sc. Source: Alexandria via LeMat-Bulk, functional PBE.

It has space group Imm2 (No. 44), with a = 8.035 Å, b = 11.380 Å, c = 5.992 Å, α = 90.00°, β = 90.00° and γ = 90.00°. Symmetry generates all atoms from Sm at (0.000, 0.000, 0.000), Ho at (0.000, 0.000, 0.526), Ho at (0.000, 0.252, 0.263), Ho at (0.176, 0.500, 0.760) and Sc at (0.000, 0.500, 0.259).

The calculation puts the excess energy over the best structure of this formula in the dataset at 914 meV/atom. The energy relative to the elements is 0.98 eV/atom.


An optimized crystal structure of ZnCu3Pd7. Source: Alexandria via LeMat-Bulk, functional PBE.

It has space group C2/m (No. 12), with a = 9.111 Å, b = 9.193 Å, c = 4.679 Å, α = 90.00°, β = 119.47° and γ = 90.00°. Symmetry generates all atoms from Zn at (0.000, 0.000, 0.000), Cu at (0.000, 0.273, 0.500), Cu at (0.000, 0.500, 0.000), Pd at (0.000, 0.000, 0.500), Pd at (0.172, 0.274, 0.174) and Pd at (0.182, 0.500, 0.659).

The energy relative to the elements is 0.06 eV/atom.


An optimized crystal structure of Li3Np2PaS6. Source: Alexandria via LeMat-Bulk, functional PBE.

It has space group C2/m (No. 12), with a = 6.761 Å, b = 11.709 Å, c = 6.610 Å, α = 90.00°, β = 109.91° and γ = 90.00°. Symmetry generates all atoms from Li at (0.000, 0.000, 0.000), Li at (0.000, 0.333, 0.000), Np at (0.000, 0.167, 0.500), Pa at (0.000, 0.500, 0.500), S at (0.244, 0.500, 0.245) and S at (0.250, 0.165, 0.243).

For the raw formation energy, the calculation gives -136.4 kJ per mole of atoms.


An optimized crystal structure of Pm2HoTm2. Source: Alexandria via LeMat-Bulk, functional PBE.

It has space group Cmc2_1 (No. 36), with a = 5.430 Å, b = 16.697 Å, c = 7.048 Å, α = 90.00°, β = 90.00° and γ = 90.00°. Symmetry generates all atoms from Pm at (0.000, 0.000, 0.000), Pm at (0.000, 0.200, 0.499), Ho at (0.000, 0.391, 0.251), Tm at (0.000, 0.200, 0.000) and Tm at (0.000, 0.391, 0.749).

The calculation puts the excess energy over the best structure of this formula in the dataset at 16 meV/atom. The energy relative to the elements is 0.04 eV/atom.


An optimized crystal structure of Er2SnO5. Source: Alexandria via LeMat-Bulk, functional PBE.

It has space group Pnma (No. 62), with a = 7.507 Å, b = 3.718 Å, c = 15.659 Å, α = 90.00°, β = 90.00° and γ = 90.00°. Symmetry generates all atoms from Er at (0.097, 0.250, 0.089), Er at (0.133, 0.250, 0.741), Sn at (0.129, 0.250, 0.427), O at (0.088, 0.750, 0.656), O at (0.095, 0.750, 0.470), O at (0.107, 0.750, 0.180), O at (0.139, 0.750, 0.004) and O at (0.188, 0.750, 0.830).

For the raw formation energy, the calculation gives -276.9 kJ per mole of atoms.


An optimized crystal structure of Rb3Pa2MnN6. Source: Alexandria via LeMat-Bulk, functional PBE.

It has space group C2/m (No. 12), with a = 5.913 Å, b = 10.255 Å, c = 6.978 Å, α = 90.00°, β = 106.24° and γ = 90.00°. Symmetry generates all atoms from Rb at (0.000, 0.000, 0.000), Rb at (0.000, 0.339, 0.000), Pa at (0.000, 0.167, 0.500), Mn at (0.000, 0.500, 0.500), N at (0.209, 0.343, 0.657) and N at (0.237, 0.000, 0.656).

For the raw formation energy, the calculation gives -56.2 kJ per mole of atoms.


An optimized crystal structure of Hf2Zn6Cu. Source: Alexandria via LeMat-Bulk, functional PBE.

It has space group P-3m1 (No. 164), with a = 5.3852 Å, b = 5.3852 Å, c = 5.7113 Å, α = 90.00°, β = 90.00° and γ = 120.00°. Symmetry generates all atoms from Hf at (0.3333, 0.6667, 0.1210), Zn at (0.1743, 0.3485, 0.6752) and Cu at (0.0000, 0.0000, 0.0000).

The energy relative to the elements is -0.13 eV/atom.


An optimized crystal structure of SrLi2Pd. Source: Alexandria via LeMat-Bulk, functional PBE.

It has space group Pnma (No. 62), with a = 16.091 Å, b = 7.883 Å, c = 5.874 Å, α = 90.00°, β = 90.00° and γ = 90.00°. Symmetry generates all atoms from Sr at (0.106, 0.250, 0.233), Sr at (0.139, 0.750, 0.024), Li at (0.047, 0.063, 0.700), Li at (0.208, 0.561, 0.528), Pd at (0.069, 0.750, 0.517) and Pd at (0.188, 0.250, 0.752).

The calculation puts the excess energy over the best structure of this formula in the dataset at 0 meV/atom. The energy relative to the elements is -0.33 eV/atom.


An optimized crystal structure of Pm3Sm7Y. Source: Alexandria via LeMat-Bulk, functional PBE.

It has space group Immm (No. 71), with a = 5.941 Å, b = 11.322 Å, c = 11.380 Å, α = 90.00°, β = 90.00° and γ = 90.00°. Symmetry generates all atoms from Pm at (0.000, 0.000, 0.000), Pm at (0.000, 0.291, 0.500), Sm at (0.000, 0.000, 0.500), Sm at (0.000, 0.203, 0.200), Sm at (0.000, 0.500, 0.293) and Y at (0.000, 0.500, 0.000).

The calculation puts the excess energy over the best structure of this formula in the dataset at 117 meV/atom. The energy relative to the elements is 0.24 eV/atom.


An optimized crystal structure of AlTl2Mo. Source: Alexandria via LeMat-Bulk, functional PBE.

It has space group Pmm2 (No. 25), with a = 2.947 Å, b = 3.255 Å, c = 9.322 Å, α = 90.00°, β = 90.00° and γ = 90.00°. Symmetry generates all atoms from Al at (0.000, 0.000, 0.000), Tl at (0.000, 0.000, 0.401), Tl at (0.500, 0.500, 0.729) and Mo at (0.500, 0.500, 0.165).

The calculation puts the excess energy over the best structure of this formula in the dataset at 0 meV/atom. The energy relative to the elements is 0.39 eV/atom.